## TbPmTmSn (PBE-GGA)

Data for an optimized crystal structure of TbPmTmSn.

Cell: 5.423 5.423 5.423 Å, 60.00 60.00 60.00°
Element x y z (fractional)
Tb  0.000  0.000  0.000
Pm  0.750  0.750  0.750
Tm  0.500  0.500  0.500
Sn  0.250  0.250  0.250

Properties
M_tot, μB/atom: 0.102
Formation energy, eV per atom: -0.20
Space-group type: F-43m, No. 216
Uncorrected energy, eV per atom: -4.67

***

## AcNdYHg (PBE-GGA)

Data for an optimized crystal structure of AcNdYHg.

Cell: 5.645 5.645 5.645 Å, 60.00 60.00 60.00°
Element x y z (fractional)
Ac  0.000  0.000  0.000
Nd  0.750  0.750  0.750
Y  0.250  0.250  0.250
Hg  0.500  0.500  0.500

Properties
M_tot, μB/atom: 0.000
Formation energy, eV per atom: 0.02
Space-group type: F-43m, No. 216
Uncorrected energy, eV per atom: -3.89

***

## Tb2Pm2Er5 (PBE-GGA)

Data for an optimized crystal structure of Tb2Pm2Er5.

Cell: 3.589 8.813 9.453 Å, 76.75 79.11 89.99°
Element x y z (fractional)
Tb  0.166  0.000  0.167
Tb  0.834  0.000  0.833
Pm  0.093  0.335  0.315
Pm  0.907  0.665  0.685
Er  0.241  0.667  0.019
Er  0.425  0.332  0.651
Er  0.500  0.000  0.500
Er  0.575  0.668  0.349
Er  0.759  0.333  0.981

Properties
M_tot, μB/atom: 0.000
Formation energy, eV per atom: 0.00
Space-group type: P-1, No. 2
Uncorrected energy, eV per atom: -4.62
Relative energy among the computed polymorphs, eV per atom: 0.000

***

## KPtS2N (PBE-GGA)

Data for an optimized crystal structure of KPtS2N.

Cell: 5.279 5.279 4.131 Å, 90.00 90.00 90.00°
Element x y z (fractional)
K  0.000  0.000  0.000
Pt  0.500  0.500  0.500
S  0.000  0.500  0.000
S  0.500  0.000  0.000
N  0.000  0.000  0.500

Properties
M_tot, μB/atom: 0.000
Formation energy without anion corrections, eV/atom: 2.516
Space-group type: P4/mmm, No. 123
Uncorrected energy, eV per atom: -2.23
Relative energy among the computed polymorphs, eV per atom: 2.268

***

## Ir2PdRu (PBE-GGA)

Data for an optimized crystal structure of Ir2PdRu.

Cell: 5.634 5.634 5.634 Å, 102.95 102.95 123.48°
Element x y z (fractional)
Ir  0.092  0.125  0.467
Ir  0.375  0.908  0.033
Ir  0.658  0.625  0.533
Ir  0.875  0.342  0.967
Pd  0.250  0.750  0.500
Pd  0.500  0.500  0.000
Ru  0.000  0.000  0.000
Ru  0.750  0.250  0.500

Properties
M_tot, μB/atom: 0.000
Formation energy, eV per atom: 0.66
Space-group type: I-42d, No. 122
Uncorrected energy, eV per atom: -7.39
Relative energy among the computed polymorphs, eV per atom: 0.649

***

## MgScSe4 (PBE-GGA)

Data for an optimized crystal structure of MgScSe4.

Cell: 5.763 5.763 5.763 Å, 60.00 60.00 60.00°
Element x y z (fractional)
Mg  0.000  0.000  0.000
Sc  0.750  0.750  0.750
Se  0.375  0.375  0.375
Se  0.375  0.375  0.875
Se  0.375  0.875  0.375
Se  0.875  0.375  0.375

Properties
M_tot, μB/atom: 0.000
Formation energy without anion corrections, eV/atom: 0.118
Space-group type: F-43m, No. 216
Uncorrected energy, eV per atom: -3.53

***

## Er4Tm4Sn (PBE-GGA)

Data for an optimized crystal structure of Er4Tm4Sn.

Cell: 7.812 7.812 7.812 Å, 95.30 95.30 144.60°
Element x y z (fractional)
Er  0.162  0.162  0.323
Er  0.162  0.838  0.000
Er  0.838  0.162  0.000
Er  0.838  0.838  0.677
Tm  0.164  0.500  0.664
Tm  0.500  0.164  0.664
Tm  0.500  0.836  0.336
Tm  0.836  0.500  0.336
Sn  0.500  0.500  0.000

Properties
M_tot, μB/atom: 0.000
Formation energy, eV per atom: -0.14
Space-group type: I4/mmm, No. 139
Uncorrected energy, eV per atom: -4.60

***

## Ca2TaNb2N6 (PBE-GGA)

Data for an optimized crystal structure of Ca2TaNb2N6.

Cell: 5.504 5.504 5.484 Å, 100.86 100.86 116.15°
Element x y z (fractional)
Ca  0.153  0.847  0.000
Ca  0.847  0.153  0.000
Ta  0.500  0.500  0.000
Nb  0.328  0.672  0.500
Nb  0.672  0.328  0.500
N  0.107  0.438  0.735
N  0.309  0.309  0.252
N  0.438  0.107  0.735
N  0.562  0.893  0.265
N  0.691  0.691  0.748
N  0.893  0.562  0.265

Properties
M_tot, μB/atom: 0.000
Formation energy without anion corrections, eV/atom: -0.947
Space-group type: C2/m, No. 12
Uncorrected energy, eV per atom: -8.76

***

## PmY12Ho5 (PBE-GGA)

Data for an optimized crystal structure of PmY12Ho5.

Cell: 10.690 10.690 5.036 Å, 90.00 90.00 90.12°
Element x y z (fractional)
Pm  0.000  0.000  0.000
Y  0.001  0.667  0.000
Y  0.167  0.167  0.500
Y  0.168  0.501  0.500
Y  0.333  0.999  0.000
Y  0.335  0.335  0.000
Y  0.499  0.832  0.500
Y  0.501  0.168  0.500
Y  0.665  0.665  0.000
Y  0.667  0.001  0.000
Y  0.832  0.499  0.500
Y  0.833  0.833  0.500
Y  0.999  0.333  0.000
Ho  0.168  0.832  0.500
Ho  0.333  0.667  0.000
Ho  0.500  0.500  0.500
Ho  0.667  0.333  0.000
Ho  0.832  0.168  0.500

Properties
M_tot, μB/atom: 0.000
Formation energy, eV per atom: 0.02
Space-group type: Cmmm, No. 65
Uncorrected energy, eV per atom: -5.82

***

## SrAcDyTl (PBE-GGA)

Data for an optimized crystal structure of SrAcDyTl.

Cell: 5.880 5.880 5.880 Å, 60.00 60.00 60.00°
Element x y z (fractional)
Sr  0.000  0.000  0.000
Ac  0.750  0.750  0.750
Dy  0.500  0.500  0.500
Tl  0.250  0.250  0.250

Properties
M_tot, μB/atom: 0.181
Formation energy, eV per atom: 0.11
Space-group type: F-43m, No. 216
Uncorrected energy, eV per atom: -3.08

***

## NaAl2I2 (PBE-GGA)

Data for an optimized crystal structure of NaAl2I2.

Cell: 8.173 8.173 4.690 Å, 90.00 90.00 90.00°
Element x y z (fractional)
Na  0.000  0.000  0.000
Na  0.500  0.500  0.000
Al  0.118  0.382  0.000
Al  0.382  0.882  0.000
Al  0.618  0.118  0.000
Al  0.882  0.618  0.000
I  0.189  0.689  0.500
I  0.311  0.189  0.500
I  0.689  0.811  0.500
I  0.811  0.311  0.500

Properties
M_tot, μB/atom: 0.000
Formation energy without anion corrections, eV/atom: -0.002
Space-group type: P4/mbm, No. 127
Uncorrected energy, eV per atom: -2.38
Relative energy among the computed polymorphs, eV per atom: 0.034

***

## Li2CoNi (PBE-GGA)

Data for an optimized crystal structure of Li2CoNi.

Cell: 2.537 2.537 7.997 Å, 90.00 90.00 90.00°
Element x y z (fractional)
Li  0.000  0.000  0.000
Li  0.500  0.500  0.321
Co  0.500  0.500  0.757
Ni  0.000  0.000  0.555

Properties
M_tot, μB/atom: 0.446
Formation energy, eV per atom: 0.08
Space-group type: P4mm, No. 99
Uncorrected energy, eV per atom: -4.10
Relative energy among the computed polymorphs, eV per atom: 0.053

***

## TbPm2Dy4Th (PBE-GGA)

Data for an optimized crystal structure of TbPm2Dy4Th.

Cell: 5.067 5.084 10.038 Å, 90.00 90.05 90.00°
Element x y z (fractional)
Tb  0.000  0.000  0.000
Pm  0.000  0.000  0.500
Pm  0.500  0.500  0.000
Dy  0.000  0.500  0.253
Dy  0.000  0.500  0.747
Dy  0.500  0.000  0.253
Dy  0.500  0.000  0.747
Th  0.500  0.500  0.500

Properties
M_tot, μB/atom: 0.000
Formation energy, eV per atom: 0.03
Space-group type: P2/m, No. 10
Uncorrected energy, eV per atom: -4.96

***

## Mo4Cl (PBE-GGA)

Data for an optimized crystal structure of Mo4Cl.

Cell: 4.803 4.803 4.803 Å, 109.47 109.47 109.47°
Element x y z (fractional)
Mo  0.000  0.000  0.500
Mo  0.000  0.500  0.000
Mo  0.500  0.000  0.000
Mo  0.500  0.500  0.500
Cl  0.000  0.000  0.000

Properties
M_tot, μB/atom: 0.000
Formation energy without anion corrections, eV/atom: 1.429
Space-group type: Im-3m, No. 229
Uncorrected energy, eV per atom: -7.61
Relative energy among the computed polymorphs, eV per atom: 0.267

***

## LiCaAlSi2 (PBE-GGA)

Data for an optimized crystal structure of LiCaAlSi2.

Cell: 6.064 6.064 6.064 Å, 139.42 139.42 58.73°
Element x y z (fractional)
Li  0.000  0.000  0.000
Ca  0.750  0.250  0.500
Al  0.500  0.500  0.000
Si  0.138  0.638  0.500
Si  0.362  0.862  0.500

Properties
M_tot, μB/atom: 0.000
Formation energy without anion corrections, eV/atom: -0.363
Space-group type: I-4m2, No. 119
Uncorrected energy, eV per atom: -4.06

***

## YNiAgPd (PBE-GGA)

Data for an optimized crystal structure of YNiAgPd.

Cell: 4.662 4.662 4.662 Å, 60.00 60.00 60.00°
Element x y z (fractional)
Y  0.000  0.000  0.000
Ni  0.750  0.750  0.750
Ag  0.500  0.500  0.500
Pd  0.250  0.250  0.250

Properties
M_tot, μB/atom: 0.000
Formation energy, eV per atom: -0.35
Space-group type: F-43m, No. 216
Uncorrected energy, eV per atom: -5.42

***

## ScNi2Br (PBE-GGA)

Data for an optimized crystal structure of ScNi2Br.

Cell: 3.363 4.248 4.319 Å, 90.00 90.00 90.00°
Element x y z (fractional)
Sc  0.000  0.000  0.000
Ni  0.000  0.500  0.500
Ni  0.500  0.000  0.500
Br  0.500  0.500  0.000

Properties
M_tot, μB/atom: 0.000
Formation energy without anion corrections, eV/atom: -0.006
Space-group type: Pmmm, No. 47
Uncorrected energy, eV per atom: -4.90
Relative energy among the computed polymorphs, eV per atom: 0.377

***

## LaAl2Tl (PBE-GGA)

Data for an optimized crystal structure of LaAl2Tl.

Cell: 10.548 10.548 10.548 Å, 18.34 18.34 18.34°
Element x y z (fractional)
La  0.000  0.000  0.000
Al  0.246  0.246  0.246
Al  0.754  0.754  0.754
Tl  0.500  0.500  0.500

Properties
M_tot, μB/atom: 0.003
Formation energy, eV per atom: 0.13
Space-group type: R-3m, No. 166
Uncorrected energy, eV per atom: -3.56
Relative energy among the computed polymorphs, eV per atom: 0.400

***

## CaCo2Pt2 (PBE-GGA)

Data for an optimized crystal structure of CaCo2Pt2.

Cell: 6.352 6.352 6.352 Å, 143.99 143.99 51.85°
Element x y z (fractional)
Ca  0.000  0.000  0.000
Co  0.250  0.750  0.500
Co  0.750  0.250  0.500
Pt  0.387  0.387  0.000
Pt  0.613  0.613  0.000

Properties
M_tot, μB/atom: 0.869
Formation energy, eV per atom: -0.19
Space-group type: I4/mmm, No. 139
Uncorrected energy, eV per atom: -5.85
Relative energy among the computed polymorphs, eV per atom: 0.053

***

## Pm2SmOsC2 (PBE-GGA)

Data for an optimized crystal structure of Pm2SmOsC2.

Cell: 5.714 11.294 3.866 Å, 90.00 90.00 90.00°
Element x y z (fractional)
Pm  0.040  0.206  0.000
Pm  0.460  0.706  0.500
Pm  0.540  0.294  0.500
Pm  0.960  0.794  0.000
Sm  0.000  0.500  0.500
Sm  0.500  0.000  0.000
Os  0.000  0.000  0.500
Os  0.500  0.500  0.000
C  0.237  0.613  0.000
C  0.263  0.113  0.500
C  0.737  0.887  0.500
C  0.763  0.387  0.000

Properties
M_tot, μB/atom: 0.000
Formation energy, eV per atom: -0.09
Space-group type: Pnnm, No. 58
Uncorrected energy, eV per atom: -7.40

***

## Sr2ReRh (PBE-GGA)

Data for an optimized crystal structure of Sr2ReRh.

Cell: 4.748 4.748 4.309 Å, 90.00 90.00 90.00°
Element x y z (fractional)
Sr  0.000  0.500  0.000
Sr  0.500  0.000  0.000
Re  0.000  0.000  0.500
Rh  0.500  0.500  0.500

Properties
M_tot, μB/atom: 0.623
Formation energy, eV per atom: 0.90
Space-group type: P4/mmm, No. 123
Uncorrected energy, eV per atom: -4.89
Relative energy among the computed polymorphs, eV per atom: 0.729

***

## Li2MgPd (PBE-GGA)

Data for an optimized crystal structure of Li2MgPd.

Cell: 10.064 10.064 10.064 Å, 158.36 158.36 30.79°
Element x y z (fractional)
Li  0.100  0.625  0.975
Li  0.375  0.350  0.475
Li  0.650  0.125  0.025
Li  0.875  0.900  0.525
Mg  0.250  0.750  0.500
Mg  0.500  0.500  0.000
Pd  0.000  0.000  0.000
Pd  0.750  0.250  0.500

Properties
M_tot, μB/atom: 0.000
Formation energy, eV per atom: -0.21
Space-group type: I-42d, No. 122
Uncorrected energy, eV per atom: -2.87

***

## SrVRh3 (PBE-GGA)

Data for an optimized crystal structure of SrVRh3.

Cell: 4.620 4.620 4.620 Å, 90.00 90.00 90.00°
Element x y z (fractional)
Sr  0.000  0.000  0.000
V  0.500  0.500  0.500
Rh  0.000  0.500  0.500
Rh  0.500  0.000  0.500
Rh  0.500  0.500  0.000

Properties
M_tot, μB/atom: 0.000
Formation energy, eV per atom: 0.02
Space-group type: Pm-3m, No. 221
Uncorrected energy, eV per atom: -6.55
Relative energy among the computed polymorphs, eV per atom: 0.000

***

## BePPb2 (PBE-GGA)

Data for an optimized crystal structure of BePPb2.

Cell: 4.937 4.937 6.318 Å, 110.11 110.11 42.47°
Element x y z (fractional)
Be  0.000  0.000  0.000
P  0.621  0.621  0.078
Pb  0.259  0.259  0.756
Pb  0.443  0.443  0.361

Properties
M_tot, μB/atom: 0.000
Formation energy, eV per atom: 0.21
Space-group type: Cm, No. 8
Uncorrected energy, eV per atom: -3.92
Relative energy among the computed polymorphs, eV per atom: 0.226

***

## KAgP3 (PBE-GGA)

Data for an optimized crystal structure of KAgP3.

Cell: 5.295 5.295 5.295 Å, 90.00 90.00 90.00°
Element x y z (fractional)
K  0.000  0.000  0.000
Ag  0.500  0.500  0.500
P  0.000  0.000  0.500
P  0.000  0.500  0.000
P  0.500  0.000  0.000

Properties
M_tot, μB/atom: 0.000
Formation energy, eV per atom: 2.03
Space-group type: Pm-3m, No. 221
Uncorrected energy, eV per atom: -2.01
Relative energy among the computed polymorphs, eV per atom: 1.264

***

## DyScCdOs (PBE-GGA)

Data for an optimized crystal structure of DyScCdOs.

Cell: 4.881 4.881 4.881 Å, 60.00 60.00 60.00°
Element x y z (fractional)
Dy  0.000  0.000  0.000
Sc  0.500  0.500  0.500
Cd  0.750  0.750  0.750
Os  0.250  0.250  0.250

Properties
M_tot, μB/atom: 0.000
Formation energy, eV per atom: -0.24
Space-group type: F-43m, No. 216
Uncorrected energy, eV per atom: -6.01
Relative energy among the computed polymorphs, eV per atom: 0.125

***

## LiZn4Pd2 (PBE-GGA)

Data for an optimized crystal structure of LiZn4Pd2.

Cell: 6.123 6.123 6.123 Å, 134.97 134.97 65.58°
Element x y z (fractional)
Li  0.000  0.000  0.000
Zn  0.000  0.500  0.500
Zn  0.250  0.750  0.500
Zn  0.500  0.000  0.500
Zn  0.750  0.250  0.500
Pd  0.368  0.368  0.000
Pd  0.632  0.632  0.000

Properties
M_tot, μB/atom: 0.000
Formation energy, eV per atom: -0.15
Space-group type: I4/mmm, No. 139
Uncorrected energy, eV per atom: -2.63
Relative energy among the computed polymorphs, eV per atom: 0.229